Here is an optimized crystal structure of RbTlPt4 from Alexandria via LeMat-Bulk. Energies are from PBE.

Calculated values
For the volume, the calculation gives 20.2 Å³ per atom. For the raw total energy, the calculation gives -110.67 eV for the cell shown. The energy of formation is -0.028 eV per atom.

abc: 7.8511 7.8511 7.8511
angles: 90.00 90.00 90.00
Space group F-43m (No. 216)
Inequivalent atoms, fractional coordinates:
Rb 0.0000 0.0000 0.0000 x4
Tl 0.2500 0.2500 0.7500 x4
Pt 0.1246 0.1246 0.3754 x16

=====

Here is an optimized crystal structure of RbTlC2F from Alexandria via LeMat-Bulk. Energies are from PBE.

Calculated values
For the volume, the calculation gives 21.2 Å³ per atom. For the raw total energy, the calculation gives -17.56 eV for the cell shown. The raw formation energy comes out at 1.22 eV/atom.

abc: 4.5649 4.5649 5.0793
angles: 90.00 90.00 90.00
Space group P4/mmm (No. 123)
Inequivalent atoms, fractional coordinates:
Rb 0.0000 0.0000 0.0000 x1
Tl 0.5000 0.5000 0.5000 x1
C 0.0000 0.5000 0.5000 x2
F 0.5000 0.5000 0.0000 x1

=====

Here is an optimized crystal structure of Li2TlPd2 from Alexandria via LeMat-Bulk. Energies are from PBE.

Calculated values
For the volume, the calculation gives 17.2 Å³ per atom. For the raw total energy, the calculation gives -17.69 eV for the cell shown. The energy of formation is -0.222 eV per atom. Its energy above the most stable polymorph in this dataset is 2.69 kcal/mol of atoms.

abc: 4.6382 2.9662 6.6719
angles: 90.00 110.24 90.00
Space group Pm (No. 6)
Inequivalent atoms, fractional coordinates:
Li 0.0000 0.0000 0.0000 x1
Li 0.4364 0.5000 0.8735 x1
Tl 0.2347 0.0000 0.4702 x1
Pd 0.6106 0.0000 0.2209 x1
Pd 0.8141 0.5000 0.6296 x1

=====

Here is an optimized crystal structure of Ba3Ag2Pb4 from Alexandria via LeMat-Bulk. Energies are from PBE.

Calculated values
For the volume, the calculation gives 35.3 Å³ per atom. For the raw total energy, the calculation gives -59.76 eV for the cell shown. The energy of formation is -0.398 eV per atom. Its energy above the most stable polymorph in this dataset is 0.32 kcal/mol of atoms.

abc: 12.8696 5.1071 10.0257
angles: 90.00 105.51 90.00
Space group C2/m (No. 12)
Inequivalent atoms, fractional coordinates:
Ba 0.0000 0.0000 0.0000 x2
Ba 0.1721 0.5000 0.6525 x4
Ag 0.1016 0.5000 0.2731 x4
Pb 0.0393 0.0000 0.3696 x4
Pb 0.2489 0.5000 0.0922 x4